(1)
Below is an optimized crystal structure of Tl3In2Sn9, with properties calculated at the PBE-GGA level.

It has space group Immm (No. 71), with a = 5.465 Å, b = 11.445 Å, c = 13.275 Å, α = 90.00°, β = 90.00° and γ = 90.00°. The inequivalent atoms are Tl at (0.000, 0.000, 0.000), Tl at (0.000, 0.000, 0.279), In at (0.000, 0.149, 0.500), Sn at (0.000, 0.276, 0.146), Sn at (0.000, 0.366, 0.362) and Sn at (0.000, 0.500, 0.000).

As for the formation energy: 0.033 eV/atom.


(2)
Below is an optimized crystal structure of TlIn2Br, with properties calculated at the PBE-GGA level.

It has space group Imm2 (No. 44), with a = 3.744 Å, b = 5.626 Å, c = 11.305 Å, α = 90.00°, β = 90.00° and γ = 90.00°. The inequivalent atoms are Tl at (0.000, 0.000, 0.000), In at (0.000, 0.000, 0.506), In at (0.000, 0.500, 0.248) and Br at (0.000, 0.500, 0.763).

Its energy above the most stable polymorph in this dataset is 0.28 eV/f.u. Its energy relative to the elements, uncorrected is -0.18 eV/atom.


(3)
Below is an optimized crystal structure of Sr2ScTc, with properties calculated at the PBE-GGA level.

It has space group F-43m (No. 216), with a = 7.515 Å, b = 7.515 Å, c = 7.515 Å, α = 90.00°, β = 90.00° and γ = 90.00°. The inequivalent atoms are Sr at (0.000, 0.000, 0.000), Sr at (0.250, 0.250, 0.250), Sc at (0.250, 0.250, 0.750) and Tc at (0.000, 0.000, 0.500).

Its energy above the most stable polymorph in this dataset is 1.53 eV/f.u. As for the formation energy: 0.643 eV/atom.


Copy entry 2 word for word.
Below is an optimized crystal structure of TlIn2Br, with properties calculated at the PBE-GGA level.

It has space group Imm2 (No. 44), with a = 3.744 Å, b = 5.626 Å, c = 11.305 Å, α = 90.00°, β = 90.00° and γ = 90.00°. The inequivalent atoms are Tl at (0.000, 0.000, 0.000), In at (0.000, 0.000, 0.506), In at (0.000, 0.500, 0.248) and Br at (0.000, 0.500, 0.763).

Its energy above the most stable polymorph in this dataset is 0.28 eV/f.u. Its energy relative to the elements, uncorrected is -0.18 eV/atom.